(1)
{
  "formula": "Nb4TlS8",
  "functional": "GGA-PBE",
  "state": "relaxed",
  "lattice_angstrom": [[-0.9735, -6.5351, 3.0618], [4.9180, -5.2713, -1.0275], [4.2738, -2.1154, 5.5036]],
  "species": ["Nb", "Nb", "Nb", "Nb", "Tl", "S", "S", "S", "S", "S", "S", "S", "S"],
  "frac_coords": [[0.9364, 0.3545, 0.3545], [0.3545, 0.9364, 0.3545], [0.3545, 0.3545, 0.9364], [0.3545, 0.3545, 0.3545], [0.7500, 0.7500, 0.7500], [0.6382, 0.1206, 0.1206], [0.1206, 0.6382, 0.1206], [0.1206, 0.1206, 0.6382], [0.1206, 0.1206, 0.1206], [0.1775, 0.6075, 0.6075], [0.6075, 0.1775, 0.6075], [0.6075, 0.6075, 0.1775], [0.6075, 0.6075, 0.6075]],
  "dft_energy_ev_per_atom": -6.71,
  "dos_ef_per_ev_cell": 6.97,
  "crystal_system": "cubic",
  "de_polymorph_mev_per_atom": 80
}

---

(2)
{
  "formula": "Nb2Tl4S11",
  "functional": "GGA-PBE",
  "state": "relaxed",
  "lattice_angstrom": [[-5.1135, -3.3572, -5.3506], [-5.3806, -1.5179, 7.2374], [-3.0915, 12.1279, -4.9531]],
  "species": ["Nb", "Nb", "Nb", "Nb", "Tl", "Tl", "Tl", "Tl", "Tl", "Tl", "Tl", "Tl", "S", "S", "S", "S", "S", "S", "S", "S", "S", "S", "S", "S", "S", "S", "S", "S", "S", "S", "S", "S", "S", "S"],
  "frac_coords": [[0.1238, 0.6393, 0.3068], [0.8762, 0.3607, 0.6932], [0.3318, 0.8890, 0.1901], [0.6682, 0.1110, 0.8099], [0.2334, 0.5776, 0.5852], [0.7665, 0.4224, 0.4148], [0.4985, 0.7342, 0.8888], [0.5015, 0.2658, 0.1112], [0.2145, 0.0325, 0.5753], [0.7855, 0.9675, 0.4247], [0.0504, 0.2401, 0.9763], [0.9496, 0.7599, 0.0237], [0.0070, 0.2880, 0.5332], [0.9930, 0.7120, 0.4668], [0.6128, 0.1914, 0.6279], [0.3872, 0.8086, 0.3721], [0.0479, 0.3594, 0.2481], [0.9521, 0.6406, 0.7519], [0.1011, 0.5112, 0.8119], [0.8989, 0.4888, 0.1881], [0.3921, 0.5750, 0.3541], [0.6079, 0.4250, 0.6459], [0.3589, 0.1307, 0.3336], [0.6411, 0.8693, 0.6664], [0.7290, 0.0419, 0.9558], [0.2710, 0.9581, 0.0442], [0.5179, 0.6847, 0.1184], [0.4821, 0.3153, 0.8816], [0.7282, 0.3967, 0.8869], [0.2718, 0.6033, 0.1131], [0.9588, 0.1358, 0.7478], [0.0412, 0.8642, 0.2522], [0.5797, 0.0726, 0.2565], [0.4203, 0.9274, 0.7435]],
  "dft_energy_ev_per_atom": -4.96,
  "crystal_system": "triclinic"
}

---

(3)
{
  "formula": "NbTl3S",
  "functional": "GGA-PBE",
  "state": "relaxed",
  "lattice_angstrom": [[-0.6202, 4.7510, -2.6350], [-5.4268, -0.6665, 0.0756], [-0.2555, 2.6237, 4.7908]],
  "species": ["S", "Tl", "Tl", "Tl", "Nb"],
  "frac_coords": [[0.0000, 0.0000, 0.0000], [0.0000, 0.5000, 0.0000], [0.0000, 0.0000, 0.5000], [0.5000, 0.0000, 0.0000], [0.5000, 0.5000, 0.5000]],
  "dft_energy_ev_per_atom": -3.24,
  "dos_ef_per_ev_cell": 6.01,
  "crystal_system": "cubic",
  "de_polymorph_mev_per_atom": 193
}

---

(4)
{
  "formula": "NbTlS2",
  "functional": "GGA-PBE",
  "state": "relaxed",
  "lattice_angstrom": [[3.3845, 0.0000, 0.0000], [1.6923, 2.9311, 0.0000], [1.6923, 0.9770, 8.8560]],
  "species": ["Nb", "Tl", "S", "S"],
  "frac_coords": [[0.6663, 0.6663, 0.0010], [0.5010, 0.5010, 0.4971], [0.0589, 0.0589, 0.8234], [0.2738, 0.2738, 0.1785]],
  "dft_energy_ev_per_atom": -5.96,
  "dos_ef_per_ev_cell": 1.74,
  "crystal_system": "trigonal"
}

---

(5)
{
  "formula": "NbTlS2",
  "functional": "GGA-PBE",
  "state": "relaxed",
  "lattice_angstrom": [[3.3813, 0.0003, -0.0010], [-1.6141, 8.9524, 0.0037], [-1.6919, -0.3067, 2.9142]],
  "species": ["S", "S", "Nb", "Tl"],
  "frac_coords": [[0.3785, 0.7245, 0.5213], [0.2697, 0.0778, 0.9670], [0.8241, 0.9011, 0.2442], [0.8253, 0.4010, 0.7480]],
  "dft_energy_ev_per_atom": -5.95,
  "dos_ef_per_ev_cell": 2.55,
  "crystal_system": "monoclinic"
}

---

(6)
{
  "formula": "NbTlS2",
  "functional": "GGA-PBE",
  "state": "relaxed",
  "lattice_angstrom": [[3.8896, 0.0000, 0.0000], [0.0000, 3.8896, 0.0000], [0.0000, 0.0000, 5.5458]],
  "species": ["S", "S", "Tl", "Nb"],
  "frac_coords": [[0.5000, 0.5000, 0.5000], [0.0000, 0.0000, 0.0000], [0.5000, 0.5000, 0.0000], [0.0000, 0.0000, 0.5000]],
  "dft_energy_ev_per_atom": -5.23,
  "dos_ef_per_ev_cell": 3.11,
  "crystal_system": "tetragonal"
}

---

(7)
{
  "formula": "NbTlS2",
  "functional": "GGA-PBE",
  "state": "relaxed",
  "lattice_angstrom": [[8.0249, 0.0000, 0.0000], [0.0000, 8.0249, 0.0000], [4.0124, 4.0124, 3.1774]],
  "species": ["S", "S", "S", "S", "Tl", "Tl", "Nb", "Nb"],
  "frac_coords": [[0.8420, 0.3420, 0.0000], [0.1580, 0.6580, 0.0000], [0.3420, 0.1580, 0.0000], [0.6580, 0.8420, 0.0000], [0.7500, 0.7500, 0.5000], [0.2500, 0.2500, 0.5000], [0.7500, 0.2500, 0.5000], [0.2500, 0.7500, 0.5000]],
  "dft_energy_ev_per_atom": -5.74,
  "dos_ef_per_ev_cell": 6.09,
  "crystal_system": "tetragonal"
}

---

(8)
{
  "formula": "NbTlS2",
  "functional": "GGA-PBE",
  "state": "relaxed",
  "lattice_angstrom": [[-13.7236, 10.8043, -3.2875], [-6.1181, -3.3252, 2.2059], [2.0162, 0.9047, 6.9621]],
  "species": ["S", "S", "S", "S", "S", "S", "S", "S", "S", "S", "S", "S", "S", "S", "S", "S", "Tl", "Tl", "Tl", "Tl", "Tl", "Tl", "Tl", "Tl", "Nb", "Nb", "Nb", "Nb", "Nb", "Nb", "Nb", "Nb"],
  "frac_coords": [[0.9209, 0.8195, 0.5703], [0.5791, 0.0703, 0.3195], [0.0791, 0.1805, 0.4297], [0.4209, 0.9297, 0.6805], [0.7453, 0.2060, 0.1670], [0.7547, 0.6670, 0.7060], [0.2547, 0.7940, 0.8330], [0.2453, 0.3330, 0.2940], [0.5620, 0.5877, 0.2866], [0.9380, 0.7866, 0.0877], [0.4380, 0.4123, 0.7134], [0.0620, 0.2134, 0.9123], [0.7500, 0.2061, 0.7061], [0.2500, 0.7939, 0.2939], [0.7500, 0.6744, 0.1744], [0.2500, 0.3256, 0.8256], [0.4043, 0.4391, 0.1716], [0.0957, 0.6716, 0.9391], [0.5957, 0.5609, 0.8284], [0.9043, 0.3284, 0.0609], [0.3727, 0.9708, 0.1755], [0.1273, 0.6755, 0.4708], [0.6273, 0.0292, 0.8245], [0.8727, 0.3245, 0.5292], [0.1652, 0.1233, 0.2298], [0.3348, 0.7298, 0.6233], [0.8348, 0.8767, 0.7702], [0.6652, 0.2702, 0.3767], [0.3326, 0.2586, 0.6214], [0.1674, 0.1214, 0.7586], [0.6674, 0.7414, 0.3786], [0.8326, 0.8786, 0.2414]],
  "dft_energy_ev_per_atom": -5.72,
  "dos_ef_per_ev_cell": 9.84,
  "crystal_system": "monoclinic"
}

---

no.,raw formation energy (eV per atom)
1,-0.89
2,-0.55
3,1.02
4,-0.79
5,-0.78
6,-0.05
7,-0.57
8,-0.55